18
Lattice="-6.0577 0.8537 3.4960 4.7273 -4.7188 2.2431 6.2005 10.1416 8.2674" Properties=species:S:1:pos:R:3 comment="RbTbHgCl6 | the Alexandria database | PBE | optimized geometry" formation_energy_uncorrected_ev_per_atom=-1.666 final_energy_ev_per_atom=-3.55 total_magnetization_mub_per_fu=0.00 dos_ef_per_ev_cell=0.00 pbc="T T T"
Rb 0.0000 0.0000 0.0000
Rb 3.1003 5.0708 4.1337
Tb -0.9126 1.5316 5.1452
Tb 5.7827 4.7449 8.8613
Hg 2.6824 -0.3259 4.7276
Hg 2.1877 6.6024 9.2789
Cl 0.0270 -0.9439 4.7604
Cl -3.3695 0.5323 5.4970
Cl 6.4206 2.1464 8.8535
Cl 8.2396 5.7442 8.5095
Cl 1.6830 2.1805 5.1193
Cl -0.8774 1.5439 7.8205
Cl 6.2582 4.5296 11.4855
Cl -1.5505 4.1300 5.1529
Cl 5.7475 4.7326 6.1859
Cl -1.3881 1.7469 2.5210
Cl 3.1871 4.0960 8.8871
Cl 4.8431 7.2203 9.2460